Density functional theory data (PBE-GGA) for a geometry-optimized V6NiRu2 structure.

space-group type	Immm, No. 71
magnetization	0.66	μB/f.u.
V	140.4	Å³/f.u.
Fermi-level density of states	1.224	states/eV per atom
total energy	-75.6	eV per formula unit

Lattice parameters (Å, degrees): 4.2876 5.8280 6.6823 115.85 108.71 90.00
Positions (direct):
V: 0.1658 0.4300 0.3320
V: 0.8342 0.0980 0.6680
V: 0.8342 0.5700 0.6680
V: 0.5000 0.2234 0.0000
V: 0.1658 0.9020 0.3320
V: 0.5000 0.7766 0.0000
Ni: 0.0000 0.0000 0.0000
Ru: 0.6638 0.6639 0.3279
Ru: 0.3362 0.3361 0.6721

=====

Density functional theory data (PBE-GGA) for a geometry-optimized LaZnGaPd structure.

space-group type	F-43m, No. 216
magnetization	0.00	μB/f.u.
V	81.5	Å³/f.u.
Fermi-level density of states	0.812	states/eV per atom
total energy	-16.5	eV per formula unit

Lattice parameters (Å, degrees): 4.8667 4.8667 4.8667 60.00 60.00 60.00
Positions (direct):
Zn: 0.5000 0.5000 0.5000
Ga: 0.2500 0.2500 0.2500
Pd: 0.0000 0.0000 0.0000
La: 0.7500 0.7500 0.7500

=====

Density functional theory data (PBE-GGA) for a geometry-optimized La2Nd15Ho2 structure.

space-group type	R-3m, No. 166
magnetization	0.01	μB/f.u.
V	691.2	Å³/f.u.
Fermi-level density of states	1.713	states/eV per atom
total energy	-86.1	eV per formula unit

Lattice parameters (Å, degrees): 8.9733 8.9733 8.9733 79.67 79.67 79.67
Positions (direct):
La: 0.6777 0.6777 0.6777
La: 0.3223 0.3223 0.3223
Nd: 0.0000 0.5000 0.0000
Nd: 0.0000 0.0000 0.5000
Nd: 0.5000 0.0000 0.0000
Nd: 0.2937 0.0000 0.7063
Nd: 0.7063 0.2937 0.0000
Nd: 0.0000 0.7063 0.2937
Nd: 0.2937 0.7063 0.0000
Nd: 0.0000 0.2937 0.7063
Nd: 0.7063 0.0000 0.2937
Nd: 0.3705 0.8486 0.3705
Nd: 0.3705 0.3705 0.8486
Nd: 0.8486 0.3705 0.3705
Nd: 0.6295 0.1514 0.6295
Nd: 0.6295 0.6295 0.1514
Nd: 0.1514 0.6295 0.6295
Ho: 0.9065 0.9065 0.9065
Ho: 0.0935 0.0935 0.0935

=====

Density functional theory data (PBE-GGA) for a geometry-optimized GaBr structure.

space-group type	I4/m, No. 87
formation energy without anion corrections	-0.508	eV/atom
magnetization	0.00	μB/f.u.
V	65.3	Å³/f.u.
Fermi-level density of states	0.000	states/eV per atom

Lattice parameters (Å, degrees): 9.1490 9.1490 6.2402 90.00 90.00 90.00
Positions (direct):
Ga: 0.4308 0.2233 0.0000
Ga: 0.5692 0.7767 0.0000
Ga: 0.7767 0.4308 0.0000
Ga: 0.2233 0.5692 0.0000
Ga: 0.9308 0.7233 0.5000
Ga: 0.0692 0.2767 0.5000
Ga: 0.2767 0.9308 0.5000
Ga: 0.7233 0.0692 0.5000
Br: 0.3000 0.9396 0.0000
Br: 0.7000 0.0604 0.0000
Br: 0.0604 0.3000 0.0000
Br: 0.9396 0.7000 0.0000
Br: 0.8000 0.4396 0.5000
Br: 0.2000 0.5604 0.5000
Br: 0.5604 0.8000 0.5000
Br: 0.4396 0.2000 0.5000

=====

Density functional theory data (PBE-GGA) for a geometry-optimized BeBiN3 structure.

space-group type	Pm-3m, No. 221
formation energy without anion corrections	2.485	eV/atom
magnetization	2.24	μB/f.u.
V	77.5	Å³/f.u.
Fermi-level density of states	0.662	states/eV per atom

Lattice parameters (Å, degrees): 4.2638 4.2638 4.2638 90.00 90.00 90.00
Positions (direct):
Be: 0.5000 0.5000 0.5000
Bi: 0.0000 0.0000 0.0000
N: 0.0000 0.5000 0.0000
N: 0.0000 0.0000 0.5000
N: 0.5000 0.0000 0.0000